#one
Computed, not measured: crystalline Mg2HIr2 at its relaxed geometry at the PBE level of DFT.

abc: 6.3338 6.3468 6.3897
angles: 90.00 90.00 90.00
Space group Fmmm (No. 69)
Unique sites:
Mg 0.2500 0.2500 0.0000 x8
H 0.0000 0.0000 0.0000 x4
Ir 0.0000 0.0000 0.2696 x8



#two
Computed, not measured: crystalline Mg2HIr2 at its relaxed geometry at the PBE level of DFT.

abc: 6.3225 6.4193 3.1551
angles: 90.00 90.00 90.00
Space group Cmmm (No. 65)
Unique sites:
Mg 0.0000 0.2372 0.0000 x4
H 0.0000 0.0000 0.5000 x2
Ir 0.2236 0.5000 0.5000 x4



Computed relative energies in units of meV per atom: #one 6; #two 0



#one
Computed, not measured: crystalline Mg2H5Ir at its relaxed geometry at the PBE level of DFT.

abc: 3.1040 6.6127 7.2770
angles: 90.00 90.00 90.00
Space group Immm (No. 71)
Unique sites:
Mg 0.0000 0.0000 0.2040 x4
H 0.0000 0.3193 0.1608 x8
H 0.0000 0.5000 0.5000 x2
Ir 0.0000 0.5000 0.0000 x2



#two
Computed, not measured: crystalline Mg2H5Ir at its relaxed geometry at the PBE level of DFT.

abc: 4.6380 3.1779 4.6398
angles: 90.00 90.14 90.00
Space group Pm (No. 6)
Unique sites:
Mg 0.0000 0.0000 0.0000 x1
Mg 0.4796 0.0000 0.4786 x1
H 0.2294 0.5000 0.2491 x1
H 0.2366 0.5000 0.7539 x1
H 0.4627 0.0000 0.0182 x1
H 0.7224 0.5000 0.7597 x1
H 0.7247 0.5000 0.2456 x1
Ir 0.9761 0.5000 0.5043 x1



#three
Computed, not measured: crystalline Mg2H5Ir at its relaxed geometry at the PBE level of DFT.

abc: 3.1015 4.7521 5.3515
angles: 81.50 89.79 89.99
Space group P1 (No. 1)
Unique sites:
Mg 0.0000 0.0000 0.0000 x1
Mg 0.4974 0.6549 0.4427 x1
H 0.4974 0.1149 0.3267 x1
H 0.4993 0.7611 0.0542 x1
H 0.9930 0.3554 0.7324 x1
H 0.9957 0.8381 0.6601 x1
H 0.9981 0.4443 0.2560 x1
Ir 0.9967 0.1612 0.4821 x1



Computed relative energies in units of meV per atom: #one 104; #two 0; #three 87



#one
Computed, not measured: crystalline Mg2H5Ir at its relaxed geometry at the PBE level of DFT.

abc: 4.3457 3.3614 5.5185
angles: 90.00 90.06 90.00
Space group Pm (No. 6)
Unique sites:
Mg 0.0000 0.0000 0.0000 x1
Mg 0.0020 0.5000 0.4793 x1
H 0.0006 0.5000 0.8324 x1
H 0.2808 0.0000 0.5787 x1
H 0.4997 0.0000 0.0232 x1
H 0.5011 0.5000 0.2441 x1
H 0.7218 0.0000 0.5787 x1
Ir 0.5011 0.0000 0.3263 x1



#two
Computed, not measured: crystalline Mg2H5Ir at its relaxed geometry at the PBE level of DFT.

abc: 4.5618 4.5618 6.9894
angles: 90.00 90.00 90.00
Space group I4mm (No. 107)
Unique sites:
Mg 0.0000 0.5000 0.0000 x4
H 0.0000 0.0000 0.0058 x2
H 0.2419 0.2419 0.7618 x8
Ir 0.0000 0.0000 0.2477 x2



Computed relative energies in units of meV per atom: #one 151; #two 0



#one
Computed, not measured: crystalline Mg2H2Ir at its relaxed geometry at the PBE level of DFT.

abc: 4.5520 4.5649 7.1371
angles: 72.34 72.28 61.14
Space group P1 (No. 1)
Unique sites:
Mg 0.0000 0.0000 0.0000 x1
Mg 0.1367 0.1377 0.5395 x1
Mg 0.4236 0.4258 0.7272 x1
Mg 0.5604 0.5639 0.2675 x1
H 0.0759 0.5970 0.2640 x1
H 0.4843 0.9675 0.0043 x1
H 0.5999 0.0804 0.2634 x1
H 0.9605 0.4837 0.0050 x1
Ir 0.7326 0.7364 0.8268 x1
Ir 0.8273 0.8272 0.4418 x1



#two
Computed, not measured: crystalline Mg2H2Ir at its relaxed geometry at the PBE level of DFT.

abc: 4.5098 4.5098 6.3658
angles: 90.00 90.00 90.00
Space group I4/mmm (No. 139)
Unique sites:
Mg 0.0000 0.5000 0.2500 x4
H 0.0000 0.0000 0.2360 x4
Ir 0.0000 0.0000 0.5000 x2



Computed relative energies in units of meV per atom: #one 0; #two 58



#one
Computed, not measured: crystalline Mg2H2Ir at its relaxed geometry at the PBE level of DFT.

abc: 4.6115 3.0109 4.6190
angles: 90.00 95.65 90.00
Space group P2/m (No. 10)
Unique sites:
Mg 0.0000 0.0000 0.0000 x1
Mg 0.5000 0.0000 0.5000 x1
H 0.2301 0.5000 0.7241 x2
Ir 0.5000 0.5000 0.0000 x1



#two
Computed, not measured: crystalline Mg2H2Ir at its relaxed geometry at the PBE level of DFT.

abc: 4.4659 4.6472 7.2135
angles: 73.18 71.97 61.33
Space group P1 (No. 1)
Unique sites:
Mg 0.0000 0.0000 0.0000 x1
Mg 0.1427 0.1460 0.5422 x1
Mg 0.5745 0.5513 0.2726 x1
Mg 0.7431 0.6994 0.8150 x1
H 0.0684 0.5622 0.2712 x1
H 0.4795 0.0349 0.2767 x1
H 0.5410 0.6636 0.5368 x1
H 0.6449 0.1373 0.5415 x1
Ir 0.2889 0.3210 0.0977 x1
Ir 0.4520 0.3790 0.7149 x1



Computed relative energies in units of meV per atom: #one 0; #two 37



#one
Computed, not measured: crystalline Mg2H2Ir at its relaxed geometry at the PBE level of DFT.

abc: 3.0024 3.0024 12.3861
angles: 90.00 90.00 90.00
Space group I4/mmm (No. 139)
Unique sites:
Mg 0.0000 0.0000 0.1439 x4
H 0.0000 0.5000 0.2500 x4
Ir 0.0000 0.0000 0.5000 x2



#two
Computed, not measured: crystalline Mg2H2Ir at its relaxed geometry at the PBE level of DFT.

abc: 6.0855 6.0855 3.0949
angles: 90.00 90.00 90.00
Space group P4/mbm (No. 127)
Unique sites:
Mg 0.1872 0.3128 0.0000 x4
H 0.1558 0.6558 0.5000 x4
Ir 0.0000 0.0000 0.5000 x2



#three
Computed, not measured: crystalline Mg2H2Ir at its relaxed geometry at the PBE level of DFT.

abc: 9.1230 9.2119 6.0593
angles: 90.00 90.00 90.00
Space group Fmm2 (No. 42)
Unique sites:
Mg 0.0000 0.2181 0.0000 x8
Mg 0.2161 0.0000 0.4560 x8
H 0.1232 0.1176 0.7306 x16
Ir 0.2500 0.2500 0.2299 x8



Computed relative energies in units of meV per atom: #one 281; #two 324; #three 0



#one
Computed, not measured: crystalline Mg5H2Ir3 at its relaxed geometry at the PBE level of DFT.

abc: 4.4304 5.6099 6.8764
angles: 105.28 90.10 113.25
Space group P1 (No. 1)
Unique sites:
Mg 0.0000 0.0000 0.0000 x1
Mg 0.1173 0.2320 0.4885 x1
Mg 0.3007 0.6032 0.2107 x1
Mg 0.6954 0.3923 0.8981 x1
Mg 0.8339 0.6651 0.5384 x1
H 0.2017 0.4062 0.8286 x1
H 0.6259 0.2493 0.4819 x1
Ir 0.3654 0.7314 0.8525 x1
Ir 0.4804 0.9575 0.5699 x1
Ir 0.5838 0.1666 0.2148 x1



#two
Computed, not measured: crystalline Mg5H2Ir3 at its relaxed geometry at the PBE level of DFT.

abc: 6.3879 6.3853 6.6759
angles: 90.00 90.02 90.00
Space group Cm (No. 8)
Unique sites:
Mg 0.0000 0.0000 0.0000 x2
Mg 0.2509 0.2498 0.2409 x4
Mg 0.2509 0.2497 0.6960 x4
H 0.0020 0.0000 0.7079 x2
H 0.0020 0.5000 0.7241 x2
Ir 0.0010 0.0000 0.4551 x2
Ir 0.0013 0.5000 0.4532 x2
Ir 0.0016 0.5000 0.9871 x2



Computed relative energies in units of meV per atom: #one 15; #two 0



#one
Computed, not measured: crystalline Mg5H2Ir3 at its relaxed geometry at the PBE level of DFT.

abc: 4.4517 4.4946 6.9281
angles: 90.16 90.00 90.01
Space group P1 (No. 1)
Unique sites:
Mg 0.0000 0.0000 0.0000 x1
Mg 0.0001 0.0007 0.4416 x1
Mg 0.9998 0.5118 0.7243 x1
Mg 0.5000 0.4994 0.0084 x1
Mg 0.5000 0.5027 0.4321 x1
H 0.4981 0.3588 0.7227 x1
H 0.4998 0.9998 0.4760 x1
Ir 0.9999 0.4997 0.2224 x1
Ir 0.5000 0.0004 0.2162 x1
Ir 0.4996 0.9913 0.7336 x1



#two
Computed, not measured: crystalline Mg5H2Ir3 at its relaxed geometry at the PBE level of DFT.

abc: 4.6921 6.2319 4.7259
angles: 90.00 97.25 90.00
Space group Pm (No. 6)
Unique sites:
Mg 0.0000 0.0000 0.0000 x1
Mg 0.0314 0.2677 0.5326 x2
Mg 0.4998 0.2648 0.0814 x2
H 0.2690 0.5000 0.3019 x1
H 0.7410 0.0000 0.3469 x1
Ir 0.5109 0.0000 0.5934 x1
Ir 0.5442 0.5000 0.5969 x1
Ir 0.9840 0.5000 0.0246 x1



#three
Computed, not measured: crystalline Mg5H2Ir3 at its relaxed geometry at the PBE level of DFT.

abc: 9.9335 4.3895 6.9948
angles: 90.00 104.05 90.00
Space group C2 (No. 5)
Unique sites:
Mg 0.0000 0.9998 0.0000 x2
Mg 0.1491 0.0000 0.4738 x4
Mg 0.1857 0.4988 0.8414 x4
H 0.2280 0.9988 0.8495 x4
Ir 0.0000 0.4998 0.5000 x2
Ir 0.1172 0.4994 0.2069 x4



#four
Computed, not measured: crystalline Mg5H2Ir3 at its relaxed geometry at the PBE level of DFT.

abc: 4.5588 4.5787 7.8993
angles: 74.44 74.09 61.24
Space group P1 (No. 1)
Unique sites:
Mg 0.0000 0.0000 0.0000 x1
Mg 0.1148 0.1494 0.6115 x1
Mg 0.3801 0.3840 0.8641 x1
Mg 0.6179 0.6182 0.1364 x1
Mg 0.8539 0.8849 0.3883 x1
H 0.6005 0.1403 0.6299 x1
H 0.8621 0.4020 0.3703 x1
Ir 0.2699 0.2381 0.2343 x1
Ir 0.4583 0.5428 0.5006 x1
Ir 0.7588 0.7353 0.7653 x1



Computed relative energies in units of meV per atom: #one 47; #two 26; #three 0; #four 35



#one
Computed, not measured: crystalline Mg3H4Ir2 at its relaxed geometry at the PBE level of DFT.

abc: 7.9625 4.5008 5.5201
angles: 90.00 91.06 90.00
Space group C2/m (No. 12)
Unique sites:
Mg 0.0000 0.0000 0.0000 x2
Mg 0.1663 0.5000 0.3367 x4
H 0.0892 0.2424 0.6649 x8
Ir 0.1730 0.5000 0.8452 x4



#two
Computed, not measured: crystalline Mg3H4Ir2 at its relaxed geometry at the PBE level of DFT.

abc: 7.8415 4.5677 5.5623
angles: 90.00 90.21 90.00
Space group C2 (No. 5)
Unique sites:
Mg 0.0000 0.0000 0.0000 x2
Mg 0.1678 0.4880 0.6616 x4
H 0.0759 0.7480 0.3295 x4
H 0.1714 0.9858 0.6650 x4
Ir 0.1587 0.5019 0.1532 x4



Computed relative energies in units of meV per atom: #one 0; #two 21